1.
Below is an optimized crystal structure of Na3ZrGe2Te6, with properties calculated at the PBE-GGA level.

a b c (Å): 7.3863 7.3863 7.8784
angles (deg): 99.00 99.00 119.99
Fractional coordinates of all 12 atoms:
Na (0.8292, 0.1708, 0.5000)
Te (0.0719, 0.4019, 0.2159)
Na (0.1708, 0.8292, 0.5000)
Na (0.5000, 0.5000, 0.5000)
Te (0.5981, 0.9281, 0.7841)
Te (0.2571, 0.2571, 0.7827)
Te (0.9281, 0.5981, 0.7841)
Zr (0.0000, 0.0000, 0.0000)
Te (0.7429, 0.7429, 0.2173)
Ge (0.6660, 0.3340, 0.0000)
Te (0.4019, 0.0719, 0.2159)
Ge (0.3340, 0.6660, 0.0000)

VASP energy, eV per atom: -3.986
E_form (uncorrected), eV/f.u.: -7.2

2.
Below is an optimized crystal structure of Na2ZrGeTe4, with properties calculated at the PBE-GGA level.

a b c (Å): 4.2578 7.4926 7.8066
angles (deg): 107.52 90.00 90.00
Fractional coordinates of all 8 atoms:
Ge (0.0000, 0.0000, 0.0000)
Te (0.5000, 0.7538, 0.7815)
Te (0.0000, 0.2631, 0.7828)
Te (0.5000, 0.2462, 0.2185)
Na (0.5000, 0.0000, 0.5000)
Na (0.0000, 0.5000, 0.5000)
Zr (0.5000, 0.5000, 0.0000)
Te (0.0000, 0.7369, 0.2172)

VASP energy, eV per atom: -4.262
E_form (uncorrected), eV/f.u.: -5.7

3.
Below is an optimized crystal structure of NaThGe, with properties calculated at the PBE-GGA level.

a b c (Å): 4.7065 4.7065 9.5604
angles (deg): 75.75 75.75 60.00
Fractional coordinates of all 6 atoms:
Na (0.1335, 0.1335, 0.5994)
Ge (0.5833, 0.5833, 0.2501)
Na (0.8665, 0.8665, 0.4006)
Th (0.2926, 0.2926, 0.1222)
Th (0.7074, 0.7074, 0.8778)
Ge (0.4167, 0.4167, 0.7499)

VASP energy, eV per atom: -4.561
Energy of formation, eV/atom: -0.109

4.
Below is an optimized crystal structure of NaThGe4, with properties calculated at the PBE-GGA level.

a b c (Å): 5.6500 5.6500 5.6500
angles (deg): 60.00 60.00 60.00
Fractional coordinates of all 6 atoms:
Ge (0.6256, 0.6256, 0.1232)
Th (0.0000, 0.0000, 0.0000)
Ge (0.1232, 0.6256, 0.6256)
Na (0.2500, 0.2500, 0.2500)
Ge (0.6256, 0.6256, 0.6256)
Ge (0.6256, 0.1232, 0.6256)

VASP energy, eV per atom: -4.711
Energy of formation, eV/atom: -0.177